! PmHoTl3 PBE-GGA optimized geometry; values from VASP
! Fermi-level density of states: 0.732 states/eV per atom
! SG: P6_3/mmc, No. 194
! DFT formation energy: -107 meV/atom
&SYSTEM
  ibrav = 0, nat = 10, ntyp = 3
/
ATOMIC_SPECIES
Pm 145.00 Pm.upf
Ho 164.93 Ho.upf
Tl 204.38 Tl.upf
CELL_PARAMETERS angstrom
6.489 0.000 0.000
0.000 7.394 -0.001
0.000 -3.696 6.404
ATOMIC_POSITIONS angstrom
Pm 1.622 0.003 4.268
Pm 4.867 3.695 2.135
Ho 0.000 0.000 0.000
Ho 3.245 0.000 0.000
Tl 1.622 5.187 1.274
Tl 4.867 -1.489 5.129
Tl 1.622 3.697 3.855
Tl 4.867 0.001 2.548
Tl 1.622 2.206 1.274
Tl 4.867 1.492 5.129

***

! Pm4HoTl4 PBE-GGA optimized geometry; values from VASP
! Fermi-level density of states: 0.748 states/eV per atom
! SG: P4_2/n, No. 86
! DFT formation energy: -193 meV/atom
&SYSTEM
  ibrav = 0, nat = 18, ntyp = 3
/
ATOMIC_SPECIES
Pm 145.00 Pm.upf
Ho 164.93 Ho.upf
Tl 204.38 Tl.upf
CELL_PARAMETERS angstrom
6.213 0.000 0.000
0.000 9.348 0.000
0.000 0.000 9.348
ATOMIC_POSITIONS angstrom
Pm 2.301 3.976 7.774
Pm 5.407 6.249 8.650
Pm 2.301 5.372 1.574
Pm 0.806 0.698 6.249
Pm 3.913 7.774 5.372
Pm 0.806 8.650 3.100
Pm 5.407 3.100 0.698
Pm 3.913 1.574 3.976
Ho 0.000 0.000 0.000
Ho 3.107 4.674 4.674
Tl 3.856 8.417 1.914
Tl 3.856 0.931 7.434
Tl 0.750 6.588 5.605
Tl 5.464 3.743 6.588
Tl 5.464 5.605 2.760
Tl 2.357 1.914 0.931
Tl 2.357 7.434 8.417
Tl 0.750 2.760 3.743

***

! PmHo6Tl4 PBE-GGA optimized geometry; values from VASP
! Fermi-level density of states: 1.239 states/eV per atom
! SG: I-42m, No. 121
! DFT formation energy: -22 meV/atom
&SYSTEM
  ibrav = 0, nat = 11, ntyp = 3
/
ATOMIC_SPECIES
Pm 145.00 Pm.upf
Ho 164.93 Ho.upf
Tl 204.38 Tl.upf
CELL_PARAMETERS angstrom
8.001 -0.296 -0.435
-3.961 6.957 0.435
-3.961 -2.154 6.630
ATOMIC_POSITIONS angstrom
Pm 0.000 0.000 0.000
Ho -5.629 5.092 3.878
Ho -5.629 1.735 6.161
Ho 4.219 0.319 0.469
Ho 2.020 -1.225 3.098
Ho -0.805 2.167 3.187
Ho 2.020 3.331 0.000
Tl -3.394 0.453 4.118
Tl 2.048 1.708 2.512
Tl -3.394 3.663 1.935
Tl -3.106 3.488 5.130

***

! PmHo2Tl PBE-GGA optimized geometry; values from VASP
! Fermi-level density of states: 1.134 states/eV per atom
! SG: P2_1/m, No. 11
! DFT formation energy: -185 meV/atom
! energy above the lowest structure with this stoichiometry: 0 meV/atom
&SYSTEM
  ibrav = 0, nat = 8, ntyp = 3
/
ATOMIC_SPECIES
Pm 145.00 Pm.upf
Ho 164.93 Ho.upf
Tl 204.38 Tl.upf
CELL_PARAMETERS angstrom
5.268 0.000 0.000
0.000 6.798 0.146
0.000 -1.737 6.652
ATOMIC_POSITIONS angstrom
Pm 1.317 -0.028 2.653
Pm 3.951 5.090 4.144
Ho 3.951 5.516 0.645
Ho 1.317 2.989 5.049
Ho 3.951 2.072 1.748
Ho 1.317 -0.455 6.153
Tl 1.317 3.732 1.792
Tl 3.951 1.329 5.005

***

! Pm5HoTl2 PBE-GGA optimized geometry; values from VASP
! Fermi-level density of states: 1.771 states/eV per atom
! SG: P6_3/mmc, No. 194
! DFT formation energy: -66 meV/atom
! energy above the lowest structure with this stoichiometry: 39 meV/atom
&SYSTEM
  ibrav = 0, nat = 16, ntyp = 3
/
ATOMIC_SPECIES
Pm 145.00 Pm.upf
Ho 164.93 Ho.upf
Tl 204.38 Tl.upf
CELL_PARAMETERS angstrom
-3.086 -1.125 4.451
5.034 -2.236 -0.512
8.081 15.986 9.641
ATOMIC_POSITIONS angstrom
Pm 2.730 5.400 3.257
Pm 1.311 2.593 1.564
Pm 1.641 2.502 5.207
Pm 6.770 13.394 8.077
Pm 0.115 -0.516 3.387
Pm 8.388 10.124 8.373
Pm 9.914 13.143 10.193
Pm 6.862 7.106 6.552
Pm 3.167 5.520 7.027
Pm 5.351 10.586 6.384
Ho 4.348 2.131 3.552
Ho 5.682 10.495 10.027
Tl 4.444 8.046 8.551
Tl 3.110 -0.317 2.076
Tl 5.585 4.580 5.029
Tl 6.919 12.943 11.504

***

! Pm3Ho2Tl4 PBE-GGA optimized geometry; values from VASP
! Fermi-level density of states: 0.923 states/eV per atom
! SG: C2/m, No. 12
! DFT formation energy: -302 meV/atom
! energy above the lowest structure with this stoichiometry: 0 meV/atom
&SYSTEM
  ibrav = 0, nat = 9, ntyp = 3
/
ATOMIC_SPECIES
Pm 145.00 Pm.upf
Ho 164.93 Ho.upf
Tl 204.38 Tl.upf
CELL_PARAMETERS angstrom
5.366 0.000 0.000
2.683 4.605 0.601
0.000 -1.364 10.407
ATOMIC_POSITIONS angstrom
Pm 2.683 0.960 4.583
Pm 0.000 0.000 0.000
Pm 5.366 2.281 6.425
Ho 2.683 0.476 8.299
Ho 5.366 2.764 2.709
Tl 5.365 1.847 9.750
Tl 2.683 4.136 4.169
Tl 5.366 -0.895 6.839
Tl 2.683 1.394 1.258

***

DFT formation energy of number 3 (PmHo6Tl4)? -22 meV/atom